# 1
VASP calculation (PBE-GGA) on a geometry-optimized Zr2AlNi structure.

Values from the calculation:
Fermi-level density of states   7.59 states/eV/cell
Calculated formation energy   -0.3961 eV/atom

Cell: 5.2922 5.3793 5.4373 Å, 103.28 99.39 99.56°
With the nearest neighbours (Å) after each atom.
Fractional coordinates of all 8 atoms:
Ni 0.3106 0.6789 0.0697  2 Al 2.52-2.54, 3 Zr 2.66-2.82, 1 Ni 2.67
Ni 0.6274 0.4796 0.3703  1 Al 2.63, 1 Ni 2.67, 5 Zr 2.72-2.82
Al 0.5752 0.0725 0.9748  2 Ni 2.54-2.63, 1 Al 2.66, 4 Zr 2.80-2.82
Al 0.2686 0.2921 0.6900  1 Ni 2.52, 1 Al 2.66, 2 Zr 2.82
Zr 0.7914 0.6068 0.9382  4 Ni 2.66-2.95, 3 Al 2.90-2.98
Zr 0.1227 0.1754 0.1473  4 Al 2.80-2.89, 3 Ni 2.80-2.97, 1 Zr 3.11
Zr 0.7003 0.0277 0.4850  3 Ni 2.72-2.85, 3 Al 2.81-3.01
Zr 0.1512 0.7305 0.5313  3 Ni 2.75-3.00, 3 Al 2.82-3.01

# 2
VASP calculation (PBE-GGA) on a geometry-optimized ZrAl2Ni structure.

Values from the calculation:
Fermi-level density of states   2.63 states/eV/cell
Calculated formation energy   -0.3627 eV/atom

Cell: 4.8517 4.8517 4.8517 Å, 130.66 130.62 72.39°
With the nearest neighbours (Å) after each atom.
Fractional coordinates of all 4 atoms:
Ni 0.5000 0.5000 0.0000  4 Zr 2.82, 8 Al 2.82-2.87
Al 0.0000 0.0000 0.0000  4 Zr 2.82, 4 Al 2.82, 4 Ni 2.87
Al 0.2501 0.7501 0.5000  4 Ni 2.82, 4 Al 2.82, 4 Zr 2.87
Zr 0.7499 0.2499 0.5000  4 Ni 2.82, 8 Al 2.82-2.87

# 3
VASP calculation (PBE-GGA) on a geometry-optimized ZrAl2Ni4 structure.

Values from the calculation:
Fermi-level density of states   8.19 states/eV/cell
Calculated formation energy   -0.3062 eV/atom
Energy above the most stable polymorph in this dataset   211.0 meV/atom

Cell: 3.9541 3.9540 15.4660 Å, 90.00 90.00 120.00°
With the nearest neighbours (Å) after each atom.
Fractional coordinates of all 14 atoms:
Ni 0.6667 0.3333 0.8077  6 Al 2.38-2.55, 1 Ni 2.41
Ni 0.3333 0.6667 0.1923  6 Al 2.38-2.55, 1 Ni 2.41
Ni 0.6667 0.3333 0.4562  4 Zr 2.62-2.64, 4 Ni 2.65-2.68
Ni 0.3333 0.6667 0.5438  4 Zr 2.62-2.64, 4 Ni 2.65-2.68
Ni 0.6667 0.3333 0.2827  4 Al 2.40-2.54, 4 Ni 2.68, 3 Zr 2.68
Ni 0.3333 0.6667 0.7173  4 Al 2.40-2.54, 4 Ni 2.68, 3 Zr 2.68
Ni 0.6667 0.3333 0.9636  4 Al 2.40-2.61, 4 Ni 2.41-2.55
Ni 0.3333 0.6667 0.0364  4 Al 2.40-2.61, 4 Ni 2.41-2.55
Al 0.0000 0.0000 0.2356  6 Ni 2.38-2.40
Al 0.0000 0.0000 0.7644  6 Ni 2.38-2.40
Al 0.6667 0.3333 0.1186  8 Ni 2.40-2.61
Al 0.3333 0.6667 0.8814  8 Ni 2.40-2.61
Zr 0.6667 0.3333 0.6267  8 Ni 2.62-2.80
Zr 0.3333 0.6667 0.3733  8 Ni 2.62-2.80

# 4
VASP calculation (PBE-GGA) on a geometry-optimized ZrAl2Ni structure.

Values from the calculation:
Fermi-level density of states   2.06 states/eV/cell
Calculated formation energy   -0.3373 eV/atom

Cell: 4.4798 4.4798 4.4798 Å, 60.00 60.00 60.00°
With the nearest neighbours (Å) after each atom.
Fractional coordinates of all 4 atoms:
Ni 0.2500 0.2500 0.2500  4 Zr 2.74, 4 Al 2.74
Al 0.5000 0.5000 0.5000  4 Ni 2.74, 4 Al 2.74
Al 0.7500 0.7500 0.7500  4 Al 2.74, 4 Zr 2.74
Zr 0.0000 0.0000 0.0000  4 Al 2.74, 4 Ni 2.74

# 5
VASP calculation (PBE-GGA) on a geometry-optimized Zr2AlNi structure.

Values from the calculation:
Fermi-level density of states   7.79 states/eV/cell
Calculated formation energy   -0.0266 eV/atom

Cell: 7.4339 7.4339 5.9454 Å, 51.30 51.30 90.00°
With the nearest neighbours (Å) after each atom.
Fractional coordinates of all 8 atoms:
Ni 0.0000 0.0000 0.0000  4 Zr 2.52, 2 Al 2.78
Ni 0.7500 0.2500 0.5000  4 Zr 2.52, 2 Al 2.78
Al 0.5000 0.5000 0.0000  2 Ni 2.78, 4 Zr 2.94
Al 0.2500 0.7500 0.5000  2 Ni 2.78, 4 Zr 2.94
Zr 0.6670 0.1250 0.2500  2 Ni 2.52
Zr 0.0830 0.6250 0.2500  2 Ni 2.52
Zr 0.3750 0.3330 0.7500  2 Ni 2.52
Zr 0.8750 0.9170 0.7500  2 Ni 2.52

# 6
VASP calculation (PBE-GGA) on a geometry-optimized Zr5AlNi2 structure.

Values from the calculation:
Fermi-level density of states   6.37 states/eV/cell
Calculated formation energy   -0.2164 eV/atom
Energy above the most stable polymorph in this dataset   70.4 meV/atom

Cell: 8.1155 8.1155 8.1155 Å, 157.07 130.34 55.37°
With the nearest neighbours (Å) after each atom.
Fractional coordinates of all 8 atoms:
Zr 0.5000 0.0000 0.5000  2 Ni 3.08, 10 Zr 3.12-3.23, 2 Al 3.41
Zr 0.9000 0.6391 0.2609  3 Ni 2.63-2.67
Zr 0.1000 0.3609 0.7391  3 Ni 2.63-2.67
Zr 0.3783 0.6391 0.7391  3 Ni 2.63-2.67
Zr 0.6217 0.3609 0.2609  3 Ni 2.63-2.67
Al 0.0000 0.0000 0.0000  8 Zr 3.04, 2 Al 3.23
Ni 0.7141 0.2141 0.5000  6 Zr 2.63-2.67
Ni 0.2859 0.7859 0.5000  6 Zr 2.63-2.67